No. 1
NbV2Fe: relaxed, PBE.

Lattice parameters (Å, degrees): 3.033 4.262 4.262 90.00 90.00 90.00
Element x y z (fractional)
Nb1 0.500 0.000 0.000
Fe1 0.500 0.500 0.500
V1 0.000 0.000 0.500
V2 0.000 0.500 0.000

ΔE_f = -13 meV per atom
Excess energy over the best structure of this formula in the dataset = 28 meV/atom
Magnetic moment = 0.000 μB per formula unit
DOS(E_F) = 2.3 states/eV/f.u.



No. 2
La5Er6Th: relaxed, PBE.

Lattice parameters (Å, degrees): 6.292 6.289 11.763 84.88 79.72 59.98
Element x y z (fractional)
Er1 0.589 0.329 0.247
Er2 0.082 0.329 0.753
Er3 0.754 0.000 0.753
Er4 0.246 0.000 0.247
Er5 0.918 0.671 0.247
Er6 0.411 0.671 0.753
Th1 0.000 0.000 0.000
La1 0.167 0.666 0.500
La2 0.333 0.334 0.000
La3 0.500 0.000 0.500
La4 0.667 0.666 0.000
La5 0.833 0.334 0.500

ΔE_f = 22 meV per atom
Magnetic moment = 0.000 μB per formula unit
DOS(E_F) = 14.4 states/eV/f.u.



No. 3
LiH2Pd2: relaxed, PBE.

Lattice parameters (Å, degrees): 3.628 3.628 4.816 67.87 67.87 90.00
Element x y z (fractional)
H1 0.750 0.250 0.500
H2 0.250 0.750 0.500
Pd1 0.320 0.320 0.360
Pd2 0.680 0.680 0.640
Li1 0.000 0.000 0.000

Excess energy over the best structure of this formula in the dataset = 91 meV/atom
Magnetic moment = 0.000 μB per formula unit
DOS(E_F) = 0.9 states/eV/f.u.



No. 4
ZrIn2Hg: relaxed, PBE.

Lattice parameters (Å, degrees): 7.987 7.987 6.433 51.63 51.63 90.00
Element x y z (fractional)
Hg1 0.000 0.000 0.000
Hg2 0.750 0.250 0.500
Zr1 0.500 0.500 0.000
Zr2 0.250 0.750 0.500
In1 0.642 0.125 0.250
In2 0.108 0.625 0.250
In3 0.375 0.358 0.750
In4 0.875 0.892 0.750

ΔE_f = 91 meV per atom
Magnetic moment = 0.000 μB per formula unit
DOS(E_F) = 1.6 states/eV/f.u.



No. 5
VTcNiRh: relaxed, PBE.

Lattice parameters (Å, degrees): 4.217 4.217 4.217 60.00 60.00 60.00
Element x y z (fractional)
Ni1 0.250 0.250 0.250
Rh1 0.500 0.500 0.500
Tc1 0.000 0.000 0.000
V1 0.750 0.750 0.750

ΔE_f = -106 meV per atom
Magnetic moment = 0.000 μB per formula unit
DOS(E_F) = 5.1 states/eV/f.u.



No. 6
BaLi3Pt: relaxed, PBE.

Lattice parameters (Å, degrees): 6.079 6.094 7.279 90.01 113.57 90.00
Element x y z (fractional)
Ba1 0.723 0.948 0.908
Ba2 0.311 0.448 0.652
Li1 0.859 0.448 0.155
Li2 0.176 0.947 0.406
Li3 0.764 0.189 0.484
Li4 0.764 0.706 0.484
Li5 0.271 0.689 0.077
Li6 0.271 0.206 0.076
Pt1 0.891 0.448 0.817
Pt2 0.144 0.948 0.744

ΔE_f = -311 meV per atom
Excess energy over the best structure of this formula in the dataset = 26 meV/atom
Magnetic moment = 0.000 μB per formula unit
DOS(E_F) = 1.7 states/eV/f.u.